DFT (PBE-GGA) results for a geometry-optimized TcMoPt2 structure.

a b c (Å): 2.7250 4.0916 5.4524
angles (deg): 90.00 90.00 90.00
Last column: nearest neighbours and their distance in Å.
Fractional positions:
Pt1 0.0000 0.0000 0.0017  4 Pt 2.71-2.74, 4 Tc 2.81, 4 Mo 2.82
Pt2 0.0000 0.0000 0.4983  4 Pt 2.71-2.74, 4 Tc 2.81, 4 Mo 2.82
Mo1 0.5000 0.5000 0.7500  2 Mo 2.72, 2 Tc 2.73, 8 Pt 2.82
Tc1 0.5000 0.5000 0.2500  2 Tc 2.72, 2 Mo 2.73, 8 Pt 2.81

Calculated total energy ... -8.511 eV per atom
DOS(E_F) ... 0.91 states/eV per atom
DFT formation energy ... -0.192 eV/atom
M_tot ... 0.0000 μB per atom
Calculated volume ... 61 Å³ per cell
Space-group type ... No. 47